No. 1
This record from Alexandria via LeMat-Bulk describes a relaxed Mg2SiSe crystal. The functional is PBE.

```
Mg2SiSe
1.0
1.811 1.046 7.319
-1.811 1.046 7.319
0.000 -2.091 7.319
Mg Si Se
2 1 1
Cartesian
0.000 0.000 5.316
0.000 0.000 16.641
0.000 0.000 0.000
0.000 0.000 10.978
```

Values from the calculation:
Total moment (μB per formula unit): 0.0
Energy above the most stable polymorph in this dataset (meV/atom): 0
DFT total energy (eV/atom): -3.429



No. 2
This record from Alexandria via LeMat-Bulk describes a relaxed MgTaSiSe2 crystal. The functional is PBE.

```
MgTaSiSe2
1.0
4.931 0.000 0.000
0.000 4.931 0.000
0.000 0.000 4.760
Mg Ta Si Se
1 1 1 2
Cartesian
0.000 0.000 0.000
2.465 2.465 0.000
0.000 0.000 2.380
0.000 2.465 2.380
2.465 0.000 2.380
```

Values from the calculation:
Total moment (μB per formula unit): 2.7
DFT total energy (eV/atom): -4.195



No. 3
This record from Alexandria via LeMat-Bulk describes a relaxed MgTi2SiSe crystal. The functional is PBE.

```
MgTi2SiSe
1.0
4.732 0.000 0.000
0.000 4.732 0.000
0.000 0.000 4.996
Mg Ti Si Se
1 2 1 1
Cartesian
0.000 0.000 0.000
0.000 2.366 2.498
2.366 0.000 2.498
2.366 2.366 2.498
2.366 2.366 0.000
```

Values from the calculation:
Total moment (μB per formula unit): 0.0
DFT total energy (eV/atom): -4.860



No. 4
This record from Alexandria via LeMat-Bulk describes a relaxed MgTl2SiSe4 crystal. The functional is PBE.

```
MgTl2SiSe4
1.0
5.293 -4.231 0.000
5.293 4.231 0.000
-5.292 0.000 5.296
Mg Tl Si Se
1 2 1 4
Cartesian
0.000 0.000 0.000
5.293 -0.008 0.000
2.648 -2.120 2.648
2.648 2.113 2.648
2.311 0.921 0.705
-0.706 -0.926 2.312
2.984 0.921 4.591
6.001 -0.926 2.984
```

Values from the calculation:
Total moment (μB per formula unit): 0.0
DFT total energy (eV/atom): -3.839